No. 1
Below is a relaxed structure of KSc2Ni, with properties calculated at the PBE level.

Structure (extended XYZ):
```
4
Lattice="-5.5634 2.1344 1.5292 0.7371 -2.4683 -5.5866 -1.7192 -2.5896 0.1528" Properties=species:S:1:pos:R:3 pbc="T T T"
Sc 0.0000 0.0000 0.0000
Sc -2.4131 -0.1669 -2.0287
K -3.6413 -0.2276 0.8410
Ni -0.4910 -2.5289 -2.7169
```

Calculated values
**Electronic total energy**: -4.190 eV/atom
**DFT formation energy**: 2.784 eV/f.u.


No. 2
Below is a relaxed structure of LiY2Mg2, with properties calculated at the PBE level.

Structure (extended XYZ):
```
10
Lattice="-1.1850 8.4907 -3.5931 -2.5637 -3.7832 -8.0945 -3.2735 -0.0151 1.0438" Properties=species:S:1:pos:R:3 pbc="T T T"
Mg -3.4805 5.8092 -5.1759
Li -1.8743 2.3537 -5.8438
Li 0.0000 0.0000 0.0000
Mg -4.5638 2.4945 -8.6210
Mg -3.5416 -1.1168 -5.4679
Y -2.6450 5.0133 -8.2220
Y -1.1037 -0.3058 -3.4657
Y -2.6718 -0.1461 -8.3810
Mg -2.4584 2.1978 -2.0228
Y -1.0768 4.8536 -3.3066
```

Calculated values
**Electronic total energy**: -3.407 eV/atom
**DFT formation energy**: 0.995 eV/f.u.


No. 3
Below is a relaxed structure of SrYAs2Se, with properties calculated at the PBE level.

Structure (extended XYZ):
```
5
Lattice="5.4086 0.0000 0.0000 0.0000 5.4086 0.0000 0.0000 0.0000 5.4703" Properties=species:S:1:pos:R:3 pbc="T T T"
Sr 2.7043 2.7043 2.7352
As 2.7043 0.0000 0.0000
As 0.0000 2.7043 0.0000
Se 0.0000 0.0000 2.7352
Y 0.0000 0.0000 0.0000
```

Calculated values
**Formation energy from raw total energies**: -15.7 kcal/mol of atoms
**Electronic total energy**: -4.869 eV/atom


No. 4
Below is a relaxed structure of Li2Ca2Cu15, with properties calculated at the PBE level.

Structure (extended XYZ):
```
19
Lattice="-5.2530 -3.4838 1.6370 2.8933 -5.8343 0.0298 1.1854 -0.2666 6.3980" Properties=species:S:1:pos:R:3 pbc="T T T"
Cu -0.7558 -1.2366 4.9626
Cu 1.4466 -2.9171 0.0149
Cu 1.8538 -4.5637 4.4871
Cu -1.3653 -6.1722 2.1067
Cu -3.3119 -2.5138 3.0724
Cu -2.6265 -1.7419 0.8185
Ca -0.4040 -3.2970 2.7741
Cu 0.4372 -5.1256 0.5143
Cu 0.5927 -0.1333 3.1990
Ca -0.7704 -6.2877 5.2906
Cu 1.0448 -6.1963 2.7741
Li -1.0634 -8.6791 7.3027
Cu 0.1909 -3.4125 5.9581
Cu -3.0282 -5.0211 3.5777
Cu -2.7970 -4.1924 1.1524
Cu -2.2192 -3.3885 5.2907
Cu 1.7003 -1.9453 4.4780
Cu 2.3784 -4.1557 1.9497
Li -0.1110 -0.9057 0.7620
```

Calculated values
**Electronic total energy**: -3.754 eV/atom
**DFT formation energy**: -2.051 eV/f.u.


> Which value of electronic total energy does entry 3 give?

-4.869 eV/atom